1.
Material: BaTiSi2H
Method: DFT, PBE
State: optimized geometry

abc: 5.636 3.826 5.636
angles: 90.00 90.00 90.00
Site moments in Bohr magnetons follow the coordinates.
Atoms (fractional coordinates):
1 H 0.000 0.500 0.000  0.00
2 Si 0.000 0.000 0.500  -0.03
3 Si 0.500 0.000 0.000  -0.04
4 Ba 0.000 0.000 0.000  0.01
5 Ti 0.500 0.500 0.500  1.33

crystal system = tetragonal

***

2.
Material: SrPr5Tl4
Method: DFT, PBE
State: optimized geometry

abc: 8.741 7.865 11.155
angles: 90.00 90.00 90.00
Atoms (fractional coordinates):
1 Sr 0.775 0.000 0.000
2 Sr 0.225 0.500 0.500
3 Pr 0.287 0.756 0.802
4 Pr 0.287 0.244 0.802
5 Pr 0.879 0.500 0.000
6 Pr 0.287 0.756 0.198
7 Pr 0.287 0.244 0.198
8 Pr 0.713 0.744 0.302
9 Pr 0.713 0.256 0.302
10 Pr 0.121 0.000 0.500
11 Pr 0.713 0.256 0.698
12 Pr 0.713 0.744 0.698
13 Tl 0.994 0.000 0.767
14 Tl 0.541 0.693 0.000
15 Tl 0.541 0.307 0.000
16 Tl 0.994 0.000 0.233
17 Tl 0.006 0.500 0.267
18 Tl 0.459 0.807 0.500
19 Tl 0.459 0.193 0.500
20 Tl 0.006 0.500 0.733

crystal system = orthorhombic

***

3.
Material: Pm3HoTe4
Method: DFT, PBE
State: optimized geometry

abc: 4.375 7.715 7.715
angles: 108.78 90.00 90.00
Atoms (fractional coordinates):
1 Pm 0.000 0.000 0.500
2 Pm 0.500 0.500 0.500
3 Pm 0.000 0.500 0.000
4 Ho 0.500 0.000 0.000
5 Te 0.000 0.242 0.242
6 Te 0.500 0.754 0.246
7 Te 0.000 0.758 0.758
8 Te 0.500 0.246 0.754

crystal system = orthorhombic
energy relative to the elements, uncorrected = -1.3654 eV/atom

***

4.
Material: BaAl3Os
Method: DFT, PBE
State: optimized geometry

abc: 4.864 4.864 4.864
angles: 90.00 90.00 90.00
Atoms (fractional coordinates):
1 Os 0.000 0.000 0.000
2 Ba 0.500 0.500 0.500
3 Al 0.000 0.500 0.000
4 Al 0.000 0.000 0.500
5 Al 0.500 0.000 0.000

crystal system = cubic
polymorph energy (0 for the lowest one) = 0 meV per atom

***

Let's list electronic total energy in order: -3.4342, -3.5126, -5.2899, -5.2509 eV/atom.